Compound: CsMoO2F3
Source: the Alexandria database
Functional: GGA+U
Structure: relaxed

Properties
Its calculated total energy is -5.657 eV per atom. For the total moment, the calculation gives 0.000 μB per formula unit.

Unit cell a=5.672 b=6.667 c=14.611 alpha=90.00 beta=90.00 gamma=90.00
Space group Imma (No. 74)
Unique sites:
Cs: 0.000 0.250 0.127 (multiplicity 4)
Mo: 0.000 0.250 0.636 (multiplicity 4)
O: 0.237 0.250 0.562 (multiplicity 8)
F: 0.000 0.036 0.334 (multiplicity 8)
F: 0.250 0.250 0.750 (multiplicity 4)